No. 1
The following is a GGA-PBE calculation of KBa2CaPt after structural relaxation, from Alexandria.

**Calculated formation energy**: -0.384 eV per atom
**N(E_F)**: 2.55 states/eV/cell
**E**: -2.982 eV/atom

Cell: 6.370 6.370 5.853 Å, 90.00 90.00 90.00°
Space group P4/mmm (No. 123)
Inequivalent atoms, fractional coordinates:
K1 0.000 0.000 0.000 x1
Ba1 0.000 0.500 0.500 x2
Ca1 0.500 0.500 0.000 x1
Pt1 0.500 0.500 0.500 x1

***

No. 2
The following is a GGA-PBE calculation of Cd2Si2Hg after structural relaxation, from Alexandria.

**Relative energy among the computed polymorphs**: 115 meV/atom
**N(E_F)**: 4.28 states/eV/cell
**E**: -2.243 eV/atom
**ΔE_f (raw)**: 352 meV per atom

Cell: 7.167 7.167 4.161 Å, 90.00 90.00 90.00°
Space group P4/mbm (No. 127)
Inequivalent atoms, fractional coordinates:
Cd1 0.189 0.311 0.000 x4
Si1 0.116 0.616 0.500 x4
Hg1 0.000 0.000 0.500 x2

***

No. 3
The following is a GGA-PBE calculation of Pa4CN2 after structural relaxation, from Alexandria.

**N(E_F)**: 16.27 states/eV/cell
**E**: -9.994 eV/atom
**ΔE_f (raw)**: -871 meV per atom

Cell: 13.263 3.425 5.992 Å, 90.00 115.17 90.00°
Space group C2/m (No. 12)
Inequivalent atoms, fractional coordinates:
Pa1 0.125 0.000 0.288 x4
Pa2 0.132 0.500 0.811 x4
C1 0.000 0.500 0.000 x2
N1 0.242 0.000 0.726 x4

***

No. 4
The following is a GGA-PBE calculation of Sr3LiRe2O9 after structural relaxation, from Alexandria.

**N(E_F)**: 4.77 states/eV/cell
**E**: -7.353 eV/atom
**ΔE_f (raw)**: -2255 meV per atom

Cell: 5.6233 5.6233 6.9279 Å, 90.00 90.00 120.00°
Space group P-3m1 (No. 164)
Inequivalent atoms, fractional coordinates:
Sr1 0.0000 0.0000 0.0000 x1
Sr2 0.3333 0.6667 0.6458 x2
Li1 0.0000 0.0000 0.5000 x1
Re1 0.3333 0.6667 0.1677 x2
O1 0.0000 0.5000 0.0000 x3
O2 0.1724 0.3447 0.3221 x6

***

No. 5
The following is a GGA-PBE calculation of Rb3Nd2ThSe6 after structural relaxation, from Alexandria.

**N(E_F)**: 9.44 states/eV/cell
**E**: -5.067 eV/atom
**ΔE_f (raw)**: -1670 meV per atom

Cell: 7.523 13.029 8.445 Å, 90.00 107.27 90.00°
Space group C2/m (No. 12)
Inequivalent atoms, fractional coordinates:
Rb1 0.000 0.000 0.000 x2
Rb2 0.000 0.332 0.000 x4
Nd1 0.000 0.166 0.500 x4
Th1 0.000 0.500 0.500 x2
Se1 0.231 0.336 0.703 x8
Se2 0.241 0.000 0.704 x4

***

No. 6
The following is a GGA-PBE calculation of SrErZn17 after structural relaxation, from Alexandria.

**Calculated formation energy**: -0.190 eV per atom
**N(E_F)**: 17.65 states/eV/cell
**E**: -1.659 eV/atom

Cell: 9.0723 9.0723 13.2388 Å, 90.00 90.00 120.00°
Space group R3m (No. 160, hexagonal axes)
Inequivalent atoms, fractional coordinates:
Sr1 0.0000 0.0000 0.0000 x3
Er1 0.0000 0.0000 0.6721 x3
Zn1 0.0000 0.0000 0.2414 x3
Zn2 0.0000 0.0000 0.4402 x3
Zn3 0.0023 0.2962 0.3370 x18
Zn4 0.0021 0.5010 0.8367 x9
Zn5 0.0144 0.5072 0.4896 x9
Zn6 0.1680 0.3360 0.5179 x9

***

Q: N(E_F) of number 4 (Sr3LiRe2O9)?
A: 4.77 states/eV/cell

***

Q: What is the formula in the third record?
A: Pa4CN2